{
  "formula": "Tl2NiBr",
  "functional": "PBE",
  "state": "relaxed",
  "cell": [[-3.461, -0.887, 0.982], [0.359, -3.279, -1.696], [2.757, -3.219, 6.807]],
  "species": ["Br", "Tl", "Tl", "Ni"],
  "fractional_positions": [[0.000, 0.000, 0.468], [0.000, 0.000, 0.867], [0.500, 0.500, 0.248], [0.500, 0.500, 0.917]],
  "e_above_lowest_polymorph_mev_per_atom": 0,
  "crystal_system": "tetragonal",
  "raw_formation_energy_mev_per_atom": -34.7
}